Entry 1:
# CsCoO2

A geometry-optimized CsCoO2 structure (PBE+U, the Alexandria database).

- D(E_F): 0.000 states/eV per atom
- Uncorrected energy: -5.093 eV per atom
- Mass density: 5.0 g/cm³

Cell: 5.9221 5.9224 5.9336 Å, 91.64 119.13 118.87°
Closest atoms and distances in Å follow each position.
Space group P1 (No. 1)
One atom of each set of equivalent atoms:
Cs: 0.0000 0.0000 0.0000 (multiplicity 1)  6 O 3.11-3.46
Cs: 0.5002 0.2501 0.7507 (multiplicity 1)  7 O 3.12-3.48
Co: 0.4994 0.7492 0.2512 (multiplicity 1)  4 O 1.88
Co: 0.9987 0.4993 0.5000 (multiplicity 1)  4 O 1.88
O: 0.1750 0.5515 0.8761 (multiplicity 1)  2 Co 1.88
O: 0.3217 0.6184 0.4478 (multiplicity 1)  2 Co 1.88
O: 0.6710 0.1243 0.3080 (multiplicity 1)  2 Co 1.88
O: 0.8276 0.7033 0.3714 (multiplicity 1)  2 Co 1.88



Entry 2:
# CsCoO2

A geometry-optimized CsCoO2 structure (PBE+U, the Alexandria database).

- D(E_F): 1.592 states/eV per atom
- Uncorrected energy: -4.645 eV per atom
- Mass density: 4.9 g/cm³

Cell: 3.4737 3.4737 21.6128 Å, 90.00 90.00 120.00°
Closest atoms and distances in Å follow each position.
Space group R3m (No. 160, hexagonal axes)
One atom of each set of equivalent atoms:
Cs: 0.0000 0.0000 0.0000 (multiplicity 3)  4 O 2.73-3.04
Co: 0.0000 0.0000 0.5002 (multiplicity 3)  1 O 1.75
O: 0.0000 0.0000 0.1404 (multiplicity 3)  3 Co 2.09
O: 0.0000 0.0000 0.5811 (multiplicity 3)  1 Co 1.75



Entry 3:
# Cs12Co3O5

A geometry-optimized Cs12Co3O5 structure (PBE+U, the Alexandria database).

- D(E_F): 0.920 states/eV per atom
- Uncorrected energy: -2.826 eV per atom
- Mass density: 3.5 g/cm³

Cell: 19.0921 19.0921 19.0921 Å, 90.00 90.00 90.00°
Closest atoms and distances in Å follow each position.
Space group Ia-3d (No. 230)
One atom of each set of equivalent atoms:
Cs: 0.0349 0.0476 0.6481 (multiplicity 96)  2 O 2.75-3.04
Co: 0.0000 0.2500 0.1250 (multiplicity 24)  8 Cs 3.73-3.95
O: 0.0000 0.0000 0.0000 (multiplicity 16)  6 Cs 3.04
O: 0.0000 0.2500 0.3750 (multiplicity 24)  4 Cs 2.75



Entry 4:
# CsCoO2

A geometry-optimized CsCoO2 structure (PBE+U, the Alexandria database).

- D(E_F): 0.000 states/eV per atom
- Uncorrected energy: -4.916 eV per atom
- Mass density: 4.7 g/cm³

Cell: 8.5695 3.0226 7.3394 Å, 90.00 123.51 90.00°
Closest atoms and distances in Å follow each position.
Space group C2/m (No. 12)
One atom of each set of equivalent atoms:
Cs: 0.0000 0.0000 0.0000 (multiplicity 2)  2 Cs 3.02, 6 O 3.05-3.08
Co: 0.0000 0.0000 0.5000 (multiplicity 2)  4 O 1.92
O: 0.0700 0.5000 0.6911 (multiplicity 4)  2 Co 1.92



Entry 5:
# Cs3CoO3

A geometry-optimized Cs3CoO3 structure (PBE+U, the Alexandria database).

- D(E_F): 0.000 states/eV per atom
- Energy relative to the lowest polymorph listed for this composition: 0.040 eV per atom
- Uncorrected energy: -4.418 eV per atom
- Mass density: 4.1 g/cm³

Cell: 11.8666 11.8666 4.9937 Å, 90.00 90.00 120.00°
Closest atoms and distances in Å follow each position.
Space group R3m (No. 160, hexagonal axes)
One atom of each set of equivalent atoms:
Cs: 0.1699 0.3398 0.0000 (multiplicity 9)  4 O 2.87-3.11
Co: 0.0000 0.0000 0.8415 (multiplicity 3)  3 O 1.79
O: 0.1740 0.0870 0.8524 (multiplicity 9)  1 Co 1.79



Entry 6:
# CsCoO2

A geometry-optimized CsCoO2 structure (PBE+U, the Alexandria database).

- D(E_F): 0.008 states/eV per atom
- Uncorrected energy: -5.063 eV per atom
- Mass density: 4.9 g/cm³

Cell: 9.5319 9.5311 13.4764 Å, 90.00 99.80 90.00°
Closest atoms and distances in Å follow each position.
Space group C2/c (No. 15)
One atom of each set of equivalent atoms:
Cs: 0.0308 0.1910 0.3881 (multiplicity 8)  8 O 3.08-3.40, 2 Cs 3.37-3.38
Cs: 0.2121 0.4443 0.0931 (multiplicity 8)  8 O 3.11-3.45, 2 Cs 3.37-3.38
Co: 0.1068 0.1871 0.6722 (multiplicity 8)  4 O 1.87-1.92
Co: 0.1373 0.4300 0.8283 (multiplicity 8)  4 O 1.88-1.98
O: 0.0000 0.0810 0.7500 (multiplicity 4)  2 Co 1.88
O: 0.0000 0.4543 0.2500 (multiplicity 4)  2 Co 1.89
O: 0.0310 0.3118 0.9022 (multiplicity 8)  2 Co 1.91-1.92
O: 0.2137 0.0620 0.6082 (multiplicity 8)  2 Co 1.87-1.98
O: 0.2346 0.3069 0.7541 (multiplicity 8)  2 Co 1.88



Entry 7:
# CsCoO2

A geometry-optimized CsCoO2 structure (PBE+U, the Alexandria database).

- D(E_F): 0.000 states/eV per atom
- Uncorrected energy: -5.095 eV per atom
- Mass density: 4.9 g/cm³

Cell: 5.9624 8.4898 6.0238 Å, 90.00 90.00 90.00°
Closest atoms and distances in Å follow each position.
Space group Pna2_1 (No. 33)
One atom of each set of equivalent atoms:
Cs: 0.0454 0.1231 0.0000 (multiplicity 4)  5 O 3.05-3.21
Co: 0.0195 0.6271 0.0034 (multiplicity 4)  4 O 1.81-1.99
O: 0.0100 0.4720 0.7986 (multiplicity 4)  2 Co 1.81-1.98
O: 0.1655 0.2046 0.5061 (multiplicity 4)  2 Co 1.81-1.99



Entry 8:
# CsCo2O2

A geometry-optimized CsCo2O2 structure (PBE+U, the Alexandria database).

- D(E_F): 0.000 states/eV per atom
- Uncorrected energy: -4.713 eV per atom
- Mass density: 4.1 g/cm³

Cell: 8.1285 8.1285 3.4522 Å, 90.00 90.00 90.00°
Closest atoms and distances in Å follow each position.
Space group P4/mbm (No. 127)
One atom of each set of equivalent atoms:
Cs: 0.0000 0.0000 0.0000 (multiplicity 2)  4 Co 3.39, 2 Cs 3.45, 8 O 3.57
Co: 0.0939 0.4061 0.0000 (multiplicity 4)  2 O 1.82
O: 0.1433 0.3567 0.5000 (multiplicity 4)  2 Co 1.82